First-principles (SCAN) data for a PBEsol-optimized structure of Ba2CuF6, as listed in the Alexandria database.

abc: 5.7972 5.8811 8.3908
angles: 90.00 110.21 90.00
Closest atoms and distances in Å follow each position.
Fractional positions:
Ba1 0.3504 0.5000 0.7008  6 F 2.59-2.85
Ba2 0.1496 0.0000 0.2992  6 F 2.59-2.85
Ba3 0.6496 0.5000 0.2992  6 F 2.59-2.85
Ba4 0.8504 0.0000 0.7008  6 F 2.59-2.85
Cu1 0.0000 0.5000 0.0000  4 F 1.88-1.95
Cu2 0.5000 0.0000 0.0000  4 F 1.88-1.95
F1 0.1195 0.5000 0.2391  1 Cu 1.88
F2 0.3805 0.0000 0.7609  1 Cu 1.88
F3 0.8805 0.5000 0.7609  1 Cu 1.88
F4 0.6195 0.0000 0.2391  1 Cu 1.88
F5 0.2857 0.6744 0.0000  1 Cu 1.95
F6 0.2143 0.1744 0.0000  1 Cu 1.95
F7 0.0021 0.2500 0.5000  4 Ba 2.59-2.61, 2 F 2.90
F8 0.4979 0.7500 0.5000  4 Ba 2.59-2.61, 2 F 2.90
F9 0.9979 0.7500 0.5000  4 Ba 2.59-2.61, 2 F 2.90
F10 0.5021 0.2500 0.5000  4 Ba 2.59-2.61, 2 F 2.90
F11 0.7143 0.3256 0.0000  1 Cu 1.95
F12 0.7857 0.8256 0.0000  1 Cu 1.95

Results
- VASP energy (eV/atom) = -16.22
- formation energy (no corrections) (eV per atom) = -3.3833
- calculated density (g/cm3) = 5.59
- distance to the lowest polymorph of the same formula (eV/f.u.) = 0.00